1.
Entry from Alexandria via LeMat-Bulk: an optimized crystal structure of CaPr3Cd2 (PBE).

calculated total energy = -3.24 eV/atom
symmetry = No. 26

Cell lengths 5.471, 9.868, 7.049 Å; angles 90.00, 90.00, 90.00 degrees
Atoms (fractional coordinates):
Ca  0.000  0.039  0.000
Ca  0.000  0.961  0.500
Pr  0.000  0.328  0.670
Pr  0.000  0.672  0.170
Pr  0.500  0.174  0.295
Pr  0.500  0.456  0.969
Pr  0.500  0.544  0.469
Pr  0.500  0.826  0.795
Cd  0.000  0.345  0.207
Cd  0.000  0.655  0.707
Cd  0.500  0.151  0.760
Cd  0.500  0.849  0.260


2.
Entry from Alexandria via LeMat-Bulk: an optimized crystal structure of Ca4Pr9Cd11 (PBE).

calculated total energy = -2.80 eV/atom
symmetry = No. 65

Cell lengths 14.365, 14.365, 3.589 Å; angles 90.00, 90.00, 106.71 degrees
Atoms (fractional coordinates):
Ca  0.086  0.254  0.000
Ca  0.254  0.086  0.000
Ca  0.746  0.914  0.000
Ca  0.914  0.746  0.000
Pr  0.000  0.000  0.000
Pr  0.119  0.657  0.000
Pr  0.295  0.480  0.000
Pr  0.343  0.881  0.000
Pr  0.480  0.295  0.000
Pr  0.520  0.705  0.000
Pr  0.657  0.119  0.000
Pr  0.705  0.520  0.000
Pr  0.881  0.343  0.000
Cd  0.088  0.452  0.500
Cd  0.128  0.872  0.500
Cd  0.283  0.283  0.500
Cd  0.320  0.680  0.500
Cd  0.452  0.088  0.500
Cd  0.500  0.500  0.500
Cd  0.548  0.912  0.500
Cd  0.680  0.320  0.500
Cd  0.717  0.717  0.500
Cd  0.872  0.128  0.500
Cd  0.912  0.548  0.500


3.
Entry from Alexandria via LeMat-Bulk: an optimized crystal structure of CaPrCdSb (PBE).

calculated total energy = -3.53 eV/atom
symmetry = No. 216
raw formation energy = -571 meV per atom

Cell lengths 5.462, 5.462, 5.462 Å; angles 60.00, 60.00, 60.00 degrees
Atoms (fractional coordinates):
Ca  0.000  0.000  0.000
Pr  0.500  0.500  0.500
Cd  0.750  0.750  0.750
Sb  0.250  0.250  0.250


4.
Entry from Alexandria via LeMat-Bulk: an optimized crystal structure of CaPrCdSi (PBE).

calculated total energy = -3.63 eV/atom
symmetry = No. 216
raw formation energy = -348 meV per atom

Cell lengths 5.271, 5.271, 5.271 Å; angles 60.00, 60.00, 60.00 degrees
Atoms (fractional coordinates):
Ca  0.000  0.000  0.000
Pr  0.500  0.500  0.500
Cd  0.250  0.250  0.250
Si  0.750  0.750  0.750


5.
Entry from Alexandria via LeMat-Bulk: an optimized crystal structure of CaPrSmCd (PBE).

calculated total energy = -3.25 eV/atom
symmetry = No. 99

Cell lengths 3.690, 3.690, 9.584 Å; angles 90.00, 90.00, 90.00 degrees
Atoms (fractional coordinates):
Ca  0.000  0.000  0.000
Pr  0.500  0.500  0.307
Sm  0.000  0.000  0.571
Cd  0.500  0.500  0.784


6.
Entry from Alexandria via LeMat-Bulk: an optimized crystal structure of CaPrSmCd (PBE).

calculated total energy = -3.15 eV/atom
symmetry = No. 216

Cell lengths 5.633, 5.633, 5.633 Å; angles 60.00, 60.00, 60.00 degrees
Atoms (fractional coordinates):
Ca  0.000  0.000  0.000
Pr  0.750  0.750  0.750
Sm  0.250  0.250  0.250
Cd  0.500  0.500  0.500


7.
Entry from Alexandria via LeMat-Bulk: an optimized crystal structure of CaPr2Cd2Sn2 (PBE).

calculated total energy = -3.39 eV/atom
symmetry = No. 166

Cell lengths 9.813, 9.813, 9.813 Å; angles 29.71, 29.71, 29.71 degrees
Atoms (fractional coordinates):
Ca  0.000  0.000  0.000
Pr  0.130  0.130  0.130
Pr  0.870  0.870  0.870
Cd  0.410  0.410  0.410
Cd  0.590  0.590  0.590
Sn  0.263  0.263  0.263
Sn  0.737  0.737  0.737


8.
Entry from Alexandria via LeMat-Bulk: an optimized crystal structure of SrCaPrCd (PBE).

calculated total energy = -2.36 eV/atom
symmetry = No. 216

Cell lengths 5.840, 5.840, 5.840 Å; angles 60.00, 60.00, 60.00 degrees
Atoms (fractional coordinates):
Sr  0.000  0.000  0.000
Ca  0.250  0.250  0.250
Pr  0.500  0.500  0.500
Cd  0.750  0.750  0.750


9.
Entry from Alexandria via LeMat-Bulk: an optimized crystal structure of SrCa2PrCd4 (PBE).

calculated total energy = -2.11 eV/atom
symmetry = No. 166

Cell lengths 9.567, 9.567, 9.567 Å; angles 33.52, 33.52, 33.52 degrees
Atoms (fractional coordinates):
Sr  0.000  0.000  0.000
Ca  0.250  0.250  0.250
Ca  0.750  0.750  0.750
Pr  0.500  0.500  0.500
Cd  0.127  0.127  0.127
Cd  0.377  0.377  0.377
Cd  0.623  0.623  0.623
Cd  0.873  0.873  0.873


10.
Entry from Alexandria via LeMat-Bulk: an optimized crystal structure of CaTbPrCd (PBE).

calculated total energy = -3.12 eV/atom
symmetry = No. 216

Cell lengths 5.599, 5.599, 5.599 Å; angles 60.00, 60.00, 60.00 degrees
Atoms (fractional coordinates):
Ca  0.000  0.000  0.000
Tb  0.250  0.250  0.250
Pr  0.750  0.750  0.750
Cd  0.500  0.500  0.500


11.
Entry from Alexandria via LeMat-Bulk: an optimized crystal structure of CaTbPrCd (PBE).

calculated total energy = -3.23 eV/atom
symmetry = No. 99

Cell lengths 3.667, 3.667, 9.525 Å; angles 90.00, 90.00, 90.00 degrees
Atoms (fractional coordinates):
Ca  0.000  0.000  0.000
Tb  0.000  0.000  0.573
Pr  0.500  0.500  0.311
Cd  0.500  0.500  0.780


12.
Entry from Alexandria via LeMat-Bulk: an optimized crystal structure of Ca2PrTl2Cd2 (PBE).

calculated total energy = -2.47 eV/atom
symmetry = No. 166

Cell lengths 9.931, 9.931, 9.931 Å; angles 29.46, 29.46, 29.46 degrees
Atoms (fractional coordinates):
Ca  0.127  0.127  0.127
Ca  0.873  0.873  0.873
Pr  0.000  0.000  0.000
Tl  0.255  0.255  0.255
Tl  0.745  0.745  0.745
Cd  0.391  0.391  0.391
Cd  0.609  0.609  0.609


13.
Entry from Alexandria via LeMat-Bulk: an optimized crystal structure of CaPrTmCd (PBE).

calculated total energy = -3.19 eV/atom
symmetry = No. 99

Cell lengths 3.646, 3.646, 9.450 Å; angles 90.00, 90.00, 90.00 degrees
Atoms (fractional coordinates):
Ca  0.000  0.000  0.000
Pr  0.500  0.500  0.315
Tm  0.000  0.000  0.575
Cd  0.500  0.500  0.775


14.
Entry from Alexandria via LeMat-Bulk: an optimized crystal structure of CaPrTm2Cd4 (PBE).

calculated total energy = -2.74 eV/atom
symmetry = No. 166

Cell lengths 9.258, 9.258, 9.258 Å; angles 33.50, 33.50, 33.50 degrees
Atoms (fractional coordinates):
Ca  0.000  0.000  0.000
Pr  0.500  0.500  0.500
Tm  0.251  0.251  0.251
Tm  0.749  0.749  0.749
Cd  0.124  0.124  0.124
Cd  0.375  0.375  0.375
Cd  0.625  0.625  0.625
Cd  0.876  0.876  0.876


15.
Entry from Alexandria via LeMat-Bulk: an optimized crystal structure of CaPrTmCd (PBE).

calculated total energy = -3.05 eV/atom
symmetry = No. 216

Cell lengths 5.566, 5.566, 5.566 Å; angles 60.00, 60.00, 60.00 degrees
Atoms (fractional coordinates):
Ca  0.000  0.000  0.000
Pr  0.750  0.750  0.750
Tm  0.250  0.250  0.250
Cd  0.500  0.500  0.500


16.
Entry from Alexandria via LeMat-Bulk: an optimized crystal structure of CaCd8Pt4 (PBE).

calculated total energy = -2.95 eV/atom
symmetry = No. 139

Cell lengths 7.375, 7.375, 7.375 Å; angles 98.74, 98.74, 134.12 degrees
Atoms (fractional coordinates):
Ca  0.000  0.000  0.000
Cd  0.000  0.335  0.335
Cd  0.000  0.665  0.665
Cd  0.280  0.500  0.780
Cd  0.335  0.000  0.335
Cd  0.500  0.280  0.780
Cd  0.500  0.720  0.220
Cd  0.665  0.000  0.665
Cd  0.720  0.500  0.220
Pt  0.000  0.000  0.500
Pt  0.000  0.500  0.000
Pt  0.500  0.000  0.000
Pt  0.500  0.500  0.500


17.
Entry from Alexandria via LeMat-Bulk: an optimized crystal structure of CaCd2Pt2 (PBE).

calculated total energy = -3.52 eV/atom
symmetry = No. 139

Cell lengths 6.718, 6.718, 6.718 Å; angles 142.84, 142.84, 53.57 degrees
Atoms (fractional coordinates):
Ca  0.000  0.000  0.000
Cd  0.388  0.388  0.000
Cd  0.612  0.612  0.000
Pt  0.250  0.750  0.500
Pt  0.750  0.250  0.500


18.
Entry from Alexandria via LeMat-Bulk: an optimized crystal structure of CaCdPt (PBE).

calculated total energy = -3.57 eV/atom
symmetry = No. 187

Cell lengths 4.694, 4.694, 3.668 Å; angles 90.00, 90.00, 120.00 degrees
Atoms (fractional coordinates):
Ca  0.000  0.000  0.000
Cd  0.667  0.333  0.500
Pt  0.333  0.667  0.500


19.
Entry from Alexandria via LeMat-Bulk: an optimized crystal structure of Ca2CdPt2 (PBE).

calculated total energy = -4.22 eV/atom
symmetry = No. 15

Cell lengths 5.827, 5.827, 8.342 Å; angles 104.29, 104.29, 57.49 degrees
Atoms (fractional coordinates):
Ca  0.003  0.700  0.851
Ca  0.300  0.997  0.649
Ca  0.700  0.003  0.351
Ca  0.997  0.300  0.149
Cd  0.343  0.657  0.250
Cd  0.657  0.343  0.750
Pt  0.217  0.508  0.491
Pt  0.492  0.783  0.009
Pt  0.508  0.217  0.991
Pt  0.783  0.492  0.509


20.
Entry from Alexandria via LeMat-Bulk: an optimized crystal structure of CaCdPt (PBE).

calculated total energy = -3.61 eV/atom
symmetry = No. 216

Cell lengths 4.751, 4.751, 4.751 Å; angles 60.00, 60.00, 60.00 degrees
Atoms (fractional coordinates):
Ca  0.000  0.000  0.000
Cd  0.500  0.500  0.500
Pt  0.750  0.750  0.750


21.
Entry from Alexandria via LeMat-Bulk: an optimized crystal structure of CaCd5Pt2 (PBE).

calculated total energy = -2.71 eV/atom
symmetry = No. 71

Cell lengths 6.990, 6.990, 6.990 Å; angles 145.91, 104.28, 85.72 degrees
Atoms (fractional coordinates):
Ca  0.000  0.000  0.000
Cd  0.156  0.346  0.810
Cd  0.463  0.654  0.810
Cd  0.500  0.000  0.500
Cd  0.537  0.346  0.190
Cd  0.844  0.654  0.190
Pt  0.228  0.728  0.500
Pt  0.772  0.272  0.500


22.
Entry from Alexandria via LeMat-Bulk: an optimized crystal structure of CaCdPt (PBE).

calculated total energy = -3.12 eV/atom
symmetry = No. 216

Cell lengths 4.810, 4.810, 4.810 Å; angles 60.00, 60.00, 60.00 degrees
Atoms (fractional coordinates):
Ca  0.000  0.000  0.000
Cd  0.250  0.250  0.250
Pt  0.750  0.750  0.750


23.
Entry from Alexandria via LeMat-Bulk: an optimized crystal structure of Ca3CdPt8 (PBE).

calculated total energy = -5.41 eV/atom
symmetry = No. 160

Cell lengths 9.383, 9.383, 9.383 Å; angles 33.65, 33.65, 33.65 degrees
Atoms (fractional coordinates):
Ca  0.000  0.000  0.000
Ca  0.128  0.128  0.128
Ca  0.507  0.507  0.507
Cd  0.629  0.629  0.629
Pt  0.064  0.566  0.566
Pt  0.066  0.066  0.567
Pt  0.066  0.567  0.066
Pt  0.315  0.315  0.315
Pt  0.566  0.064  0.566
Pt  0.566  0.566  0.064
Pt  0.567  0.066  0.066
Pt  0.816  0.816  0.816


24.
Entry from Alexandria via LeMat-Bulk: an optimized crystal structure of Ca3Cd7Pt4 (PBE).

calculated total energy = -3.14 eV/atom
symmetry = No. 12

Cell lengths 8.585, 8.585, 10.558 Å; angles 122.79, 122.79, 29.38 degrees
Atoms (fractional coordinates):
Ca  0.000  0.000  0.000
Ca  0.301  0.301  0.285
Ca  0.699  0.699  0.715
Cd  0.000  0.000  0.500
Cd  0.167  0.167  0.434
Cd  0.320  0.320  0.983
Cd  0.487  0.487  0.702
Cd  0.513  0.513  0.298
Cd  0.680  0.680  0.017
Cd  0.833  0.833  0.566
Pt  0.114  0.114  0.816
Pt  0.337  0.337  0.740
Pt  0.663  0.663  0.260
Pt  0.886  0.886  0.184


25.
Entry from Alexandria via LeMat-Bulk: an optimized crystal structure of CaCd2Pt2 (PBE).

calculated total energy = -3.64 eV/atom
symmetry = No. 139

Cell lengths 13.021, 13.021, 13.021 Å; angles 161.66, 161.66, 26.05 degrees
Atoms (fractional coordinates):
Ca  0.119  0.119  0.000
Ca  0.881  0.881  0.000
Cd  0.000  0.500  0.500
Cd  0.320  0.320  0.000
Cd  0.500  0.000  0.500
Cd  0.680  0.680  0.000
Pt  0.250  0.750  0.500
Pt  0.425  0.425  0.000
Pt  0.575  0.575  0.000
Pt  0.750  0.250  0.500